[1]
Computed, not measured: crystalline MoRh3 at its relaxed geometry at the PBE level of DFT.

Geometry as CIF:
```
data_MoRh3
_space_group_name_H-M_alt 'P m -3 n'
_space_group_IT_number 223
_space_group_name_Hall '-P 4n 2 3'
_cell_length_a 4.923
_cell_length_b 4.923
_cell_length_c 4.923
_cell_angle_alpha 90.00
_cell_angle_beta 90.00
_cell_angle_gamma 90.00
loop_
_atom_site_label
_atom_site_type_symbol
_atom_site_fract_x
_atom_site_fract_y
_atom_site_fract_z
Mo1 Mo 0.000 0.000 0.000
Rh1 Rh 0.000 0.250 0.500
```

***

[2]
Computed, not measured: crystalline MoRh at its relaxed geometry at the PBE level of DFT.

Geometry as CIF:
```
data_MoRh
_space_group_name_H-M_alt 'F -4 3 m'
_space_group_IT_number 216
_space_group_name_Hall 'F -4 2 3'
_cell_length_a 5.607
_cell_length_b 5.607
_cell_length_c 5.607
_cell_angle_alpha 90.00
_cell_angle_beta 90.00
_cell_angle_gamma 90.00
loop_
_atom_site_label
_atom_site_type_symbol
_atom_site_fract_x
_atom_site_fract_y
_atom_site_fract_z
Mo1 Mo 0.000 0.000 0.000
Rh1 Rh 0.250 0.250 0.750
```

***

[3]
Computed, not measured: crystalline Mo2Rh at its relaxed geometry at the PBE level of DFT.

Geometry as CIF:
```
data_Mo2Rh
_space_group_name_H-M_alt 'I 4/m m m'
_space_group_IT_number 139
_space_group_name_Hall '-I 4 2'
_cell_length_a 3.233
_cell_length_b 3.233
_cell_length_c 8.970
_cell_angle_alpha 90.00
_cell_angle_beta 90.00
_cell_angle_gamma 90.00
loop_
_atom_site_label
_atom_site_type_symbol
_atom_site_fract_x
_atom_site_fract_y
_atom_site_fract_z
Mo1 Mo 0.000 0.000 0.176
Rh1 Rh 0.000 0.000 0.500
```

***

[4]
Computed, not measured: crystalline Mo2Rh at its relaxed geometry at the PBE level of DFT.

Geometry as CIF:
```
data_Mo2Rh
_space_group_name_H-M_alt 'P -6 2 m'
_space_group_IT_number 189
_space_group_name_Hall 'P -6 -2'
_cell_length_a 6.5670
_cell_length_b 6.5670
_cell_length_c 3.8950
_cell_angle_alpha 90.00
_cell_angle_beta 90.00
_cell_angle_gamma 120.00
loop_
_atom_site_label
_atom_site_type_symbol
_atom_site_fract_x
_atom_site_fract_y
_atom_site_fract_z
Mo1 Mo 0.0000 0.2565 0.0000
Mo2 Mo 0.0000 0.5914 0.5000
Rh1 Rh 0.0000 0.0000 0.5000
Rh2 Rh 0.3333 0.6667 0.0000
```

***

Energy of formation from the pure elements (eV/atom)
0.06; 1.18; 0.18; 0.33